1.
# MgZrIO2 | the Alexandria database | PBE-GGA | optimized geometry
data_MgZrIO2
_chemical_formula_sum 'Mg1 Zr1 I1 O2'
_space_group_name_H-M_alt 'P 1'
_space_group_IT_number 1
_cell_length_a 4.1685
_cell_length_b 4.1685
_cell_length_c 6.1605
_cell_angle_alpha 90.00
_cell_angle_beta 90.00
_cell_angle_gamma 90.00
loop_
_space_group_symop_operation_xyz
'x,y,z'
loop_
_atom_site_label
_atom_site_type_symbol
_atom_site_fract_x
_atom_site_fract_y
_atom_site_fract_z
_atom_site_occupancy
Mg1 Mg 0.0000 0.0000 0.0000 1
Zr1 Zr 0.5000 0.5000 0.5000 1
I1 I 0.5000 0.5000 0.0000 1
O1 O 0.0000 0.5000 0.5000 1
O2 O 0.5000 0.0000 0.5000 1
# magnetization	0.000	μB per atom
# electronic total energy	-5.876	eV/atom
# uncorrected formation energy	-1.55	eV per atom
# SG	P4/mmm, No. 123

***

2.
# LaZnRh2 | the Alexandria database | PBE-GGA | optimized geometry
data_LaZnRh2
_chemical_formula_sum 'La1 Zn1 Rh2'
_space_group_name_H-M_alt 'P 1'
_space_group_IT_number 1
_cell_length_a 5.4452
_cell_length_b 5.4452
_cell_length_c 5.4452
_cell_angle_alpha 137.44
_cell_angle_beta 137.44
_cell_angle_gamma 61.77
loop_
_space_group_symop_operation_xyz
'x,y,z'
loop_
_atom_site_label
_atom_site_type_symbol
_atom_site_fract_x
_atom_site_fract_y
_atom_site_fract_z
_atom_site_occupancy
La1 La 0.0000 0.0000 0.0000 1
Zn1 Zn 0.7500 0.2500 0.5000 1
Rh1 Rh 0.2500 0.7500 0.5000 1
Rh2 Rh 0.5000 0.5000 0.0000 1
# magnetization	0.000	μB per atom
# electronic total energy	-5.637	eV/atom
# SG	I-4m2, No. 119
# E_form	-0.411	eV/atom

***

3.
# RbCdSnCl6 | the Alexandria database | PBE-GGA | optimized geometry
data_RbCdSnCl6
_chemical_formula_sum 'Rb2 Cd2 Sn2 Cl12'
_space_group_name_H-M_alt 'P 1'
_space_group_IT_number 1
_cell_length_a 6.9488
_cell_length_b 6.9488
_cell_length_c 14.5639
_cell_angle_alpha 90.00
_cell_angle_beta 90.00
_cell_angle_gamma 120.00
loop_
_space_group_symop_operation_xyz
'x,y,z'
loop_
_atom_site_label
_atom_site_type_symbol
_atom_site_fract_x
_atom_site_fract_y
_atom_site_fract_z
_atom_site_occupancy
Rb1 Rb 0.0000 0.0000 0.0000 1
Rb2 Rb 0.0000 0.0000 0.5000 1
Cd1 Cd 0.3333 0.6667 0.2500 1
Cd2 Cd 0.6667 0.3333 0.7500 1
Sn1 Sn 0.3333 0.6667 0.7500 1
Sn2 Sn 0.6667 0.3333 0.2500 1
Cl1 Cl 0.0014 0.3763 0.6451 1
Cl2 Cl 0.0014 0.6252 0.8549 1
Cl3 Cl 0.3748 0.3763 0.8549 1
Cl4 Cl 0.3748 0.9986 0.6451 1
Cl5 Cl 0.3763 0.0014 0.1451 1
Cl6 Cl 0.3763 0.3748 0.3549 1
Cl7 Cl 0.6237 0.6252 0.6451 1
Cl8 Cl 0.6237 0.9986 0.8549 1
Cl9 Cl 0.6252 0.0014 0.3549 1
Cl10 Cl 0.6252 0.6237 0.1451 1
Cl11 Cl 0.9986 0.3748 0.1451 1
Cl12 Cl 0.9986 0.6237 0.3549 1
# magnetization	0.081	μB per atom
# electronic total energy	-3.091	eV/atom
# uncorrected formation energy	-1.21	eV per atom
# SG	P-31c, No. 163

***

4.
# Hf12Ga6Ni | the Alexandria database | PBE-GGA | optimized geometry
data_Hf12Ga6Ni
_chemical_formula_sum 'Hf12 Ga6 Ni1'
_space_group_name_H-M_alt 'P 1'
_space_group_IT_number 1
_cell_length_a 7.6219
_cell_length_b 7.6219
_cell_length_c 7.6219
_cell_angle_alpha 100.25
_cell_angle_beta 100.25
_cell_angle_gamma 100.25
loop_
_space_group_symop_operation_xyz
'x,y,z'
loop_
_atom_site_label
_atom_site_type_symbol
_atom_site_fract_x
_atom_site_fract_y
_atom_site_fract_z
_atom_site_occupancy
Hf1 Hf 0.0211 0.6795 0.9375 1
Hf2 Hf 0.0625 0.9789 0.3205 1
Hf3 Hf 0.1961 0.4098 0.5385 1
Hf4 Hf 0.3205 0.0625 0.9789 1
Hf5 Hf 0.4098 0.5385 0.1961 1
Hf6 Hf 0.4615 0.8039 0.5902 1
Hf7 Hf 0.5385 0.1961 0.4098 1
Hf8 Hf 0.5902 0.4615 0.8039 1
Hf9 Hf 0.6795 0.9375 0.0211 1
Hf10 Hf 0.8039 0.5902 0.4615 1
Hf11 Hf 0.9375 0.0211 0.6795 1
Hf12 Hf 0.9789 0.3205 0.0625 1
Ga1 Ga 0.1220 0.6410 0.3172 1
Ga2 Ga 0.3172 0.1220 0.6410 1
Ga3 Ga 0.3590 0.6828 0.8780 1
Ga4 Ga 0.6410 0.3172 0.1220 1
Ga5 Ga 0.6828 0.8780 0.3590 1
Ga6 Ga 0.8780 0.3590 0.6828 1
Ni1 Ni 0.0000 0.0000 0.0000 1
# magnetization	0.000	μB per atom
# electronic total energy	-7.513	eV/atom
# SG	R-3, No. 148
# E_form	0.034	eV/atom

***

5.
# Ca4CdHg7 | the Alexandria database | PBE-GGA | optimized geometry
data_Ca4CdHg7
_chemical_formula_sum 'Ca4 Cd1 Hg7'
_space_group_name_H-M_alt 'P 1'
_space_group_IT_number 1
_cell_length_a 5.4428
_cell_length_b 7.6266
_cell_length_c 8.4207
_cell_angle_alpha 110.49
_cell_angle_beta 92.59
_cell_angle_gamma 91.37
loop_
_space_group_symop_operation_xyz
'x,y,z'
loop_
_atom_site_label
_atom_site_type_symbol
_atom_site_fract_x
_atom_site_fract_y
_atom_site_fract_z
_atom_site_occupancy
Ca1 Ca 0.2363 0.4166 0.3193 1
Ca2 Ca 0.2437 0.9069 0.2733 1
Ca3 Ca 0.7563 0.0931 0.7267 1
Ca4 Ca 0.7637 0.5834 0.6807 1
Cd1 Cd 0.5000 0.5000 0.0000 1
Hg1 Hg 0.0000 0.5000 0.0000 1
Hg2 Hg 0.2550 0.0786 0.9650 1
Hg3 Hg 0.2566 0.8081 0.6132 1
Hg4 Hg 0.2585 0.2881 0.6367 1
Hg5 Hg 0.7415 0.7119 0.3633 1
Hg6 Hg 0.7434 0.1919 0.3868 1
Hg7 Hg 0.7450 0.9214 0.0350 1
# magnetization	0.000	μB per atom
# electronic total energy	-1.304	eV/atom
# SG	P-1, No. 2
# E_form	-0.384	eV/atom

***

6.
# PrSm2Ga2 | the Alexandria database | PBE-GGA | optimized geometry
data_PrSm2Ga2
_chemical_formula_sum 'Pr1 Sm2 Ga2'
_space_group_name_H-M_alt 'P 1'
_space_group_IT_number 1
_cell_length_a 6.6102
_cell_length_b 6.6102
_cell_length_c 5.9989
_cell_angle_alpha 102.17
_cell_angle_beta 102.17
_cell_angle_gamma 33.65
loop_
_space_group_symop_operation_xyz
'x,y,z'
loop_
_atom_site_label
_atom_site_type_symbol
_atom_site_fract_x
_atom_site_fract_y
_atom_site_fract_z
_atom_site_occupancy
Pr1 Pr 0.0000 0.0000 0.0000 1
Sm1 Sm 0.3630 0.3630 0.4330 1
Sm2 Sm 0.6370 0.6370 0.5670 1
Ga1 Ga 0.2925 0.2925 0.8913 1
Ga2 Ga 0.7075 0.7075 0.1087 1
# magnetization	0.000	μB per atom
# electronic total energy	-4.418	eV/atom
# SG	C2/m, No. 12
# E_form	-0.364	eV/atom

***

7.
# PaTl2F8 | the Alexandria database | PBE-GGA | optimized geometry
data_PaTl2F8
_chemical_formula_sum 'Pa1 Tl2 F8'
_space_group_name_H-M_alt 'P 1'
_space_group_IT_number 1
_cell_length_a 8.6547
_cell_length_b 8.6547
_cell_length_c 5.6875
_cell_angle_alpha 106.20
_cell_angle_beta 106.20
_cell_angle_gamma 27.32
loop_
_space_group_symop_operation_xyz
'x,y,z'
loop_
_atom_site_label
_atom_site_type_symbol
_atom_site_fract_x
_atom_site_fract_y
_atom_site_fract_z
_atom_site_occupancy
Pa1 Pa 0.0000 0.0000 0.0000 1
Tl1 Tl 0.3153 0.3153 0.3278 1
Tl2 Tl 0.6847 0.6847 0.6722 1
F1 F 0.0833 0.0833 0.3602 1
F2 F 0.1168 0.1168 0.9266 1
F3 F 0.2699 0.2699 0.7081 1
F4 F 0.4846 0.4846 0.1914 1
F5 F 0.5154 0.5154 0.8086 1
F6 F 0.7301 0.7301 0.2919 1
F7 F 0.8832 0.8832 0.0734 1
F8 F 0.9167 0.9167 0.6398 1
# magnetization	0.087	μB per atom
# electronic total energy	-5.486	eV/atom
# uncorrected formation energy	-2.83	eV per atom
# SG	C2/m, No. 12

***

8.
# Pm2Sm3Er6Pb | the Alexandria database | PBE-GGA | optimized geometry
data_Pm2Sm3Er6Pb
_chemical_formula_sum 'Pm2 Sm3 Er6 Pb1'
_space_group_name_H-M_alt 'P 1'
_space_group_IT_number 1
_cell_length_a 6.1164
_cell_length_b 6.1164
_cell_length_c 11.7164
_cell_angle_alpha 95.02
_cell_angle_beta 95.02
_cell_angle_gamma 120.01
loop_
_space_group_symop_operation_xyz
'x,y,z'
loop_
_atom_site_label
_atom_site_type_symbol
_atom_site_fract_x
_atom_site_fract_y
_atom_site_fract_z
_atom_site_occupancy
Pm1 Pm 0.1662 0.8338 0.0000 1
Pm2 Pm 0.8338 0.1662 0.0000 1
Sm1 Sm 0.0000 0.0000 0.5000 1
Sm2 Sm 0.3325 0.6675 0.5000 1
Sm3 Sm 0.6675 0.3325 0.5000 1
Er1 Er 0.0911 0.4183 0.7522 1
Er2 Er 0.2549 0.2549 0.2487 1
Er3 Er 0.4183 0.0911 0.7522 1
Er4 Er 0.5817 0.9089 0.2478 1
Er5 Er 0.7451 0.7451 0.7513 1
Er6 Er 0.9089 0.5817 0.2478 1
Pb1 Pb 0.5000 0.5000 0.0000 1
# magnetization	0.000	μB per atom
# electronic total energy	-4.627	eV/atom
# SG	C2/m, No. 12
# E_form	-0.065	eV/atom

***

9.
# SmTm4Mg2 | the Alexandria database | PBE-GGA | optimized geometry
data_SmTm4Mg2
_chemical_formula_sum 'Sm1 Tm4 Mg2'
_space_group_name_H-M_alt 'P 1'
_space_group_IT_number 1
_cell_length_a 10.7234
_cell_length_b 10.7234
_cell_length_c 10.7234
_cell_angle_alpha 27.72
_cell_angle_beta 27.72
_cell_angle_gamma 27.72
loop_
_space_group_symop_operation_xyz
'x,y,z'
loop_
_atom_site_label
_atom_site_type_symbol
_atom_site_fract_x
_atom_site_fract_y
_atom_site_fract_z
_atom_site_occupancy
Sm1 Sm 0.0000 0.0000 0.0000 1
Tm1 Tm 0.2026 0.2026 0.2026 1
Tm2 Tm 0.3955 0.3955 0.3955 1
Tm3 Tm 0.6045 0.6045 0.6045 1
Tm4 Tm 0.7974 0.7974 0.7974 1
Mg1 Mg 0.1002 0.1002 0.1002 1
Mg2 Mg 0.8998 0.8998 0.8998 1
# magnetization	0.026	μB per atom
# electronic total energy	-3.170	eV/atom
# SG	R-3m, No. 166
# E_form	0.514	eV/atom

***

10.
# LiCe2Ni3As4 | the Alexandria database | PBE-GGA | optimized geometry
data_LiCe2Ni3As4
_chemical_formula_sum 'Li1 Ce2 Ni3 As4'
_space_group_name_H-M_alt 'P 1'
_space_group_IT_number 1
_cell_length_a 4.2428
_cell_length_b 4.2428
_cell_length_c 9.4572
_cell_angle_alpha 90.00
_cell_angle_beta 90.00
_cell_angle_gamma 90.00
loop_
_space_group_symop_operation_xyz
'x,y,z'
loop_
_atom_site_label
_atom_site_type_symbol
_atom_site_fract_x
_atom_site_fract_y
_atom_site_fract_z
_atom_site_occupancy
Li1 Li 0.0000 0.0000 0.0000 1
Ce1 Ce 0.0000 0.5000 0.7483 1
Ce2 Ce 0.5000 0.0000 0.2517 1
Ni1 Ni 0.0000 0.5000 0.3867 1
Ni2 Ni 0.5000 0.0000 0.6133 1
Ni3 Ni 0.5000 0.5000 0.0000 1
As1 As 0.0000 0.0000 0.5000 1
As2 As 0.0000 0.5000 0.1368 1
As3 As 0.5000 0.0000 0.8632 1
As4 As 0.5000 0.5000 0.5000 1
# magnetization	0.103	μB per atom
# electronic total energy	-5.828	eV/atom
# SG	P-4m2, No. 115
# E_form	-0.856	eV/atom

***

11.
# NdGdTlRu | the Alexandria database | PBE-GGA | optimized geometry
data_NdGdTlRu
_chemical_formula_sum 'Nd1 Gd1 Tl1 Ru1'
_space_group_name_H-M_alt 'P 1'
_space_group_IT_number 1
_cell_length_a 5.1924
_cell_length_b 5.1924
_cell_length_c 5.1924
_cell_angle_alpha 60.00
_cell_angle_beta 60.00
_cell_angle_gamma 60.00
loop_
_space_group_symop_operation_xyz
'x,y,z'
loop_
_atom_site_label
_atom_site_type_symbol
_atom_site_fract_x
_atom_site_fract_y
_atom_site_fract_z
_atom_site_occupancy
Nd1 Nd 0.0000 0.0000 0.0000 1
Gd1 Gd 0.5000 0.5000 0.5000 1
Tl1 Tl 0.7500 0.7500 0.7500 1
Ru1 Ru 0.2500 0.2500 0.2500 1
# magnetization	1.761	μB per atom
# electronic total energy	-7.802	eV/atom
# SG	F-43m, No. 216
# E_form	-0.180	eV/atom

***

Please write out number 1 again, unchanged.
# MgZrIO2 | the Alexandria database | PBE-GGA | optimized geometry
data_MgZrIO2
_chemical_formula_sum 'Mg1 Zr1 I1 O2'
_space_group_name_H-M_alt 'P 1'
_space_group_IT_number 1
_cell_length_a 4.1685
_cell_length_b 4.1685
_cell_length_c 6.1605
_cell_angle_alpha 90.00
_cell_angle_beta 90.00
_cell_angle_gamma 90.00
loop_
_space_group_symop_operation_xyz
'x,y,z'
loop_
_atom_site_label
_atom_site_type_symbol
_atom_site_fract_x
_atom_site_fract_y
_atom_site_fract_z
_atom_site_occupancy
Mg1 Mg 0.0000 0.0000 0.0000 1
Zr1 Zr 0.5000 0.5000 0.5000 1
I1 I 0.5000 0.5000 0.0000 1
O1 O 0.0000 0.5000 0.5000 1
O2 O 0.5000 0.0000 0.5000 1
# magnetization	0.000	μB per atom
# electronic total energy	-5.876	eV/atom
# uncorrected formation energy	-1.55	eV per atom
# SG	P4/mmm, No. 123

***

Number 8 is which compound?
Pm2Sm3Er6Pb

***

Look up the magnetization of the fourth one.
0.000 μB per atom

***

Please write out number 1 again, unchanged.
# MgZrIO2 | the Alexandria database | PBE-GGA | optimized geometry
data_MgZrIO2
_chemical_formula_sum 'Mg1 Zr1 I1 O2'
_space_group_name_H-M_alt 'P 1'
_space_group_IT_number 1
_cell_length_a 4.1685
_cell_length_b 4.1685
_cell_length_c 6.1605
_cell_angle_alpha 90.00
_cell_angle_beta 90.00
_cell_angle_gamma 90.00
loop_
_space_group_symop_operation_xyz
'x,y,z'
loop_
_atom_site_label
_atom_site_type_symbol
_atom_site_fract_x
_atom_site_fract_y
_atom_site_fract_z
_atom_site_occupancy
Mg1 Mg 0.0000 0.0000 0.0000 1
Zr1 Zr 0.5000 0.5000 0.5000 1
I1 I 0.5000 0.5000 0.0000 1
O1 O 0.0000 0.5000 0.5000 1
O2 O 0.5000 0.0000 0.5000 1
# magnetization	0.000	μB per atom
# electronic total energy	-5.876	eV/atom
# uncorrected formation energy	-1.55	eV per atom
# SG	P4/mmm, No. 123